! Hf4Zn2CN, relaxed, DFT PBE; values from VASP
&SYSTEM
  ibrav = 0, nat = 8, ntyp = 4
/
ATOMIC_SPECIES
Hf 178.49 Hf.upf
Zn 65.41 Zn.upf
C 12.01 C.upf
N 14.01 N.upf
ATOMIC_POSITIONS crystal
Hf 0.333 0.667 0.089
Hf 0.333 0.667 0.412
Hf 0.667 0.333 0.588
Hf 0.667 0.333 0.911
Zn 0.667 0.333 0.252
Zn 0.333 0.667 0.748
C 0.000 0.000 0.000
N 0.000 0.000 0.500
CELL_PARAMETERS angstrom
3.248 0.000 0.000
-1.624 2.813 0.000
0.000 0.000 14.068
! VASP energy: -8.248 eV/atom
! calculated volume: 129 Å³ per cell
! space group: P-3m1 (164)
! M_tot: 0.001 μB/atom